Entry 1:
KBaCr2Tc | GGA-PBE | optimized geometry

Cell lengths 6.1511, 6.1511, 5.3217 Å; angles 90.00, 90.00, 90.00 degrees
Atoms (fractional coordinates):
1 K 0.0000 0.0000 0.0000
2 Ba 0.5000 0.5000 0.5000
3 Cr 0.0000 0.5000 0.5000
4 Cr 0.5000 0.0000 0.5000
5 Tc 0.5000 0.5000 0.0000

Output
Its uncorrected energy is -22.01 eV per cell. Its formation energy is 2124 meV/atom. The crystal system is tetragonal. The density of states at the Fermi level comes out at 4.32 states/eV/f.u. For the theoretical density, the calculation gives 3.121 g cm⁻³.

---

Entry 2:
KBaTiCr2 | GGA-PBE | optimized geometry

Cell lengths 5.6721, 5.6721, 5.4337 Å; angles 90.00, 90.00, 90.00 degrees
Atoms (fractional coordinates):
1 K 0.0000 0.0000 0.0000
2 Ba 0.5000 0.5000 0.5000
3 Ti 0.0000 0.0000 0.5000
4 Cr 0.0000 0.5000 0.0000
5 Cr 0.5000 0.0000 0.0000

Output
Its uncorrected energy is -21.47 eV per cell. Its formation energy is 1739 meV/atom. The crystal system is tetragonal. The density of states at the Fermi level comes out at 3.70 states/eV/f.u. For the theoretical density, the calculation gives 3.118 g cm⁻³.